Arrangement one

Entry from the Alexandria database: Tl2Sb2Cl7 after structural relaxation (PBE).

abc: 7.367 7.367 6.952
angles: 94.57 94.57 73.45
Element x y z (fractional)
Tl1 0.226 0.774 0.000
Tl2 0.774 0.226 0.000
Sb1 0.236 0.236 0.580
Sb2 0.764 0.764 0.420
Cl1 0.000 0.000 0.500
Cl2 0.051 0.510 0.264
Cl3 0.442 0.442 0.734
Cl4 0.490 0.949 0.736
Cl5 0.510 0.051 0.264
Cl6 0.558 0.558 0.266
Cl7 0.949 0.490 0.736

Summary:
Symmetry   C2/m, No. 12
Total magnetic moment   0.00 μB/atom
Crystal system   monoclinic

Arrangement two

Entry from the Alexandria database: Tl2Sb2Cl7 after structural relaxation (PBE).

abc: 6.569 6.569 8.532
angles: 92.26 92.26 98.39
Element x y z (fractional)
Tl1 0.229 0.771 0.000
Tl2 0.771 0.229 0.000
Sb1 0.189 0.189 0.492
Sb2 0.811 0.811 0.508
Cl1 0.015 0.378 0.687
Cl2 0.194 0.194 0.139
Cl3 0.378 0.015 0.687
Cl4 0.500 0.500 0.500
Cl5 0.622 0.985 0.313
Cl6 0.806 0.806 0.861
Cl7 0.985 0.622 0.313

Summary:
Symmetry   C2/m, No. 12
Total magnetic moment   0.00 μB/atom
Crystal system   monoclinic

Which structure wins on stability? arrangement two wins.

Arrangement one

Entry from the Alexandria database: V3SbCl after structural relaxation (PBE).

abc: 5.229 5.229 5.229
angles: 90.00 90.00 90.00
Element x y z (fractional)
V1 0.000 0.000 0.500
V2 0.000 0.500 0.000
V3 0.500 0.000 0.000
Sb1 0.000 0.000 0.000
Cl1 0.500 0.500 0.500

Summary:
Symmetry   Pm-3m, No. 221
Total magnetic moment   2.20 μB/atom
Crystal system   cubic

Arrangement two

Entry from the Alexandria database: V3SbCl after structural relaxation (PBE).

abc: 4.307 4.307 4.307
angles: 90.00 90.00 90.00
Element x y z (fractional)
V1 0.000 0.000 0.500
V2 0.000 0.500 0.000
V3 0.500 0.000 0.000
Sb1 0.500 0.500 0.500
Cl1 0.000 0.000 0.000

Summary:
Symmetry   Pm-3m, No. 221
Total magnetic moment   0.00 μB/atom
Crystal system   cubic

Which structure wins on stability? arrangement two wins.

Arrangement one

Entry from the Alexandria database: VSbCl2 after structural relaxation (PBE).

abc: 11.975 11.975 11.975
angles: 15.80 15.80 15.80
Element x y z (fractional)
V1 0.000 0.000 0.000
Sb1 0.500 0.500 0.500
Cl1 0.061 0.061 0.061
Cl2 0.939 0.939 0.939

Summary:
Symmetry   R-3m, No. 166
Total magnetic moment   0.49 μB/atom
Crystal system   trigonal

Arrangement two

Entry from the Alexandria database: VSbCl2 after structural relaxation (PBE).

abc: 6.618 6.618 6.618
angles: 99.47 99.47 132.14
Element x y z (fractional)
V1 0.000 0.000 0.000
V2 0.750 0.250 0.500
Sb1 0.250 0.750 0.500
Sb2 0.500 0.500 0.000
Cl1 0.375 0.007 0.132
Cl2 0.757 0.625 0.632
Cl3 0.875 0.243 0.868
Cl4 0.993 0.125 0.368

Summary:
Symmetry   I-42d, No. 122
Total magnetic moment   0.51 μB/atom
Crystal system   tetragonal

Which structure wins on stability? arrangement two wins.

Arrangement one

Entry from the Alexandria database: VSb3Cl after structural relaxation (PBE).

abc: 5.077 5.077 5.077
angles: 90.00 90.00 90.00
Element x y z (fractional)
V1 0.000 0.000 0.000
Sb1 0.000 0.000 0.500
Sb2 0.000 0.500 0.000
Sb3 0.500 0.000 0.000
Cl1 0.500 0.500 0.500

Summary:
Symmetry   Pm-3m, No. 221
Total magnetic moment   0.00 μB/atom
Crystal system   cubic

Arrangement two

Entry from the Alexandria database: VSb3Cl after structural relaxation (PBE).

abc: 5.233 5.233 5.233
angles: 90.00 90.00 90.00
Element x y z (fractional)
V1 0.000 0.000 0.000
Sb1 0.000 0.500 0.500
Sb2 0.500 0.000 0.500
Sb3 0.500 0.500 0.000
Cl1 0.500 0.500 0.500

Summary:
Symmetry   Pm-3m, No. 221
Total magnetic moment   0.59 μB/atom
Crystal system   cubic

Which structure wins on stability? arrangement one wins.

Arrangement one

Entry from the Alexandria database: SbWCl after structural relaxation (PBE).

abc: 3.248 3.248 7.840
angles: 90.00 90.00 120.00
Element x y z (fractional)
Sb1 0.000 0.000 0.000
W1 0.667 0.333 0.266
Cl1 0.333 0.667 0.478

Summary:
Symmetry   P3m1, No. 156
Total magnetic moment   0.00 μB/atom
Crystal system   trigonal

Arrangement two

Entry from the Alexandria database: SbWCl after structural relaxation (PBE).

abc: 7.594 7.594 7.594
angles: 156.22 156.22 33.87
Element x y z (fractional)
Sb1 0.000 0.000 0.000
W1 0.626 0.626 0.000
Cl1 0.232 0.232 0.000

Summary:
Symmetry   I4mm, No. 107
Total magnetic moment   0.00 μB/atom
Crystal system   tetragonal

Arrangement three

Entry from the Alexandria database: SbWCl after structural relaxation (PBE).

abc: 5.058 5.058 5.058
angles: 145.90 122.96 68.16
Element x y z (fractional)
Sb1 0.000 0.000 0.000
W1 0.636 0.636 0.000
Cl1 0.354 0.354 0.000

Summary:
Symmetry   Imm2, No. 44
Total magnetic moment   0.00 μB/atom
Crystal system   orthorhombic

Arrangement four

Entry from the Alexandria database: SbWCl after structural relaxation (PBE).

abc: 4.628 4.628 4.628
angles: 60.00 60.00 60.00
Element x y z (fractional)
Sb1 0.000 0.000 0.000
W1 0.250 0.250 0.250
Cl1 0.500 0.500 0.500

Summary:
Symmetry   F-43m, No. 216
Total magnetic moment   0.67 μB/atom
Crystal system   cubic

Which structure wins on stability? arrangement one wins.

Arrangement one

Entry from the Alexandria database: SbWCl after structural relaxation (PBE).

abc: 8.895 8.546 3.237
angles: 85.44 73.29 21.27
Element x y z (fractional)
Sb1 0.000 0.000 0.000
W1 0.645 0.645 0.355
Cl1 0.259 0.259 0.741

Summary:
Symmetry   Fmm2, No. 42
Total magnetic moment   0.21 μB/atom
Crystal system   orthorhombic

Arrangement two

Entry from the Alexandria database: SbWCl after structural relaxation (PBE).

abc: 4.751 4.751 4.751
angles: 60.00 60.00 60.00
Element x y z (fractional)
Sb1 0.000 0.000 0.000
W1 0.250 0.250 0.250
Cl1 0.750 0.750 0.750

Summary:
Symmetry   F-43m, No. 216
Total magnetic moment   0.67 μB/atom
Crystal system   cubic

Which structure wins on stability? arrangement one wins.